A | ## NiMoOs3 (GGA-PBE)

Data for a geometry-optimized NiMoOs3 structure.

Structure (POSCAR):
```
NiMoOs3
1.0
4.358 0.000 0.000
0.000 4.358 0.000
0.000 0.000 4.358
Ni Mo Os
1 1 3
Direct
0.000 0.000 0.000
0.500 0.500 0.500
0.000 0.000 0.500
0.000 0.500 0.000
0.500 0.000 0.000
```

Results
- magnetic moment (μB per atom) = 0.101
- ρ (Mg/m³) = 14.55

---

B | ## NiMoOs3 (GGA-PBE)

Data for a geometry-optimized NiMoOs3 structure.

Structure (POSCAR):
```
NiMoOs3
1.0
4.666 0.000 0.000
0.000 4.666 0.000
0.000 0.000 4.666
Ni Mo Os
1 1 3
Direct
0.000 0.000 0.000
0.500 0.500 0.500
0.000 0.500 0.500
0.500 0.000 0.500
0.500 0.500 0.000
```

Results
- magnetic moment (μB per atom) = 0.565
- ρ (Mg/m³) = 11.86

---

Which structure is most stable? A, by 63.0 kJ/mol of atoms over the runner-up.

---

A | ## NiMoP3 (GGA-PBE)

Data for a geometry-optimized NiMoP3 structure.

Structure (POSCAR):
```
NiMoP3
1.0
4.642 0.000 0.000
0.000 4.642 0.000
0.000 0.000 4.642
Ni Mo P
1 1 3
Direct
0.000 0.000 0.000
0.500 0.500 0.500
0.000 0.500 0.500
0.500 0.000 0.500
0.500 0.500 0.000
```

Results
- magnetic moment (μB per atom) = 0.000
- ρ (Mg/m³) = 4.11

---

B | ## NiMoP3 (GGA-PBE)

Data for a geometry-optimized NiMoP3 structure.

Structure (POSCAR):
```
NiMoP3
1.0
4.298 0.000 0.000
0.000 4.298 0.000
0.000 0.000 4.298
Ni Mo P
1 1 3
Direct
0.000 0.000 0.000
0.500 0.500 0.500
0.000 0.000 0.500
0.000 0.500 0.000
0.500 0.000 0.000
```

Results
- magnetic moment (μB per atom) = 0.000
- ρ (Mg/m³) = 5.18

---

Which structure is most stable? B, by 2.4 kJ/mol of atoms over the runner-up.

---

A | ## NiMoP2S (GGA-PBE)

Data for a geometry-optimized NiMoP2S structure.

Structure (POSCAR):
```
NiMoP2S
1.0
4.704 0.000 0.000
0.000 4.704 0.000
0.000 0.000 4.551
Ni Mo P S
1 1 2 1
Direct
0.000 0.000 0.000
0.500 0.500 0.500
0.000 0.500 0.500
0.500 0.000 0.500
0.500 0.500 0.000
```

Results
- magnetic moment (μB per atom) = 0.086
- ρ (Mg/m³) = 4.10

---

B | ## NiMoP2S (GGA-PBE)

Data for a geometry-optimized NiMoP2S structure.

Structure (POSCAR):
```
NiMoP2S
1.0
4.261 0.000 0.000
0.000 4.261 0.000
0.000 0.000 4.420
Ni Mo P S
1 1 2 1
Direct
0.000 0.000 0.000
0.500 0.500 0.500
0.000 0.500 0.000
0.500 0.000 0.000
0.000 0.000 0.500
```

Results
- magnetic moment (μB per atom) = 0.001
- ρ (Mg/m³) = 5.14

---

Which structure is most stable? A, by 1.4 kJ/mol of atoms over the runner-up.